No. 1
Entry from the Alexandria database: crystalline Pm2CoGe2 at its relaxed geometry (PBE).

Computed properties:
The total energy is -5.86 eV/atom.

```
Pm2CoGe2
1.0
5.491 -2.131 0.000
5.491 2.131 0.000
-5.155 0.000 9.096
Pm Co Ge
4 2 4
direct
0.000 0.000 0.167 Pm
0.000 0.000 0.833 Pm
0.183 0.183 0.603 Pm
0.817 0.817 0.397 Pm
0.277 0.277 0.120 Co
0.723 0.723 0.880 Co
0.338 0.338 0.927 Ge
0.495 0.495 0.634 Ge
0.505 0.505 0.366 Ge
0.662 0.662 0.073 Ge
```

***

No. 2
Entry from the Alexandria database: crystalline Ba2CaP at its relaxed geometry (PBE).

Computed properties:
The total energy is -2.76 eV/atom.

```
Ba2CaP
1.0
8.161 0.000 0.000
0.000 8.161 0.000
0.000 0.000 8.161
Ba Ca P
8 4 4
direct
0.000 0.000 0.000 Ba
0.000 0.500 0.500 Ba
0.250 0.250 0.250 Ba
0.250 0.750 0.750 Ba
0.500 0.000 0.500 Ba
0.500 0.500 0.000 Ba
0.750 0.250 0.750 Ba
0.750 0.750 0.250 Ba
0.250 0.250 0.750 Ca
0.250 0.750 0.250 Ca
0.750 0.250 0.250 Ca
0.750 0.750 0.750 Ca
0.000 0.000 0.500 P
0.000 0.500 0.000 P
0.500 0.000 0.000 P
0.500 0.500 0.500 P
```

***

No. 3
Entry from the Alexandria database: crystalline HoLuSnHg at its relaxed geometry (PBE).

Computed properties:
The total energy is -3.86 eV/atom.

```
HoLuSnHg
1.0
7.398 0.000 0.000
0.000 7.398 0.000
0.000 0.000 7.398
Ho Lu Sn Hg
4 4 4 4
direct
0.000 0.000 0.000 Ho
0.000 0.500 0.500 Ho
0.500 0.000 0.500 Ho
0.500 0.500 0.000 Ho
0.000 0.000 0.500 Lu
0.000 0.500 0.000 Lu
0.500 0.000 0.000 Lu
0.500 0.500 0.500 Lu
0.250 0.250 0.750 Sn
0.250 0.750 0.250 Sn
0.750 0.250 0.250 Sn
0.750 0.750 0.750 Sn
0.250 0.250 0.250 Hg
0.250 0.750 0.750 Hg
0.750 0.250 0.750 Hg
0.750 0.750 0.250 Hg
```

***

No. 4
Entry from the Alexandria database: crystalline AcNd6Y2Ho at its relaxed geometry (PBE).

Computed properties:
The total energy is -4.90 eV/atom.

```
AcNd6Y2Ho
1.0
4.781 -7.704 0.000
4.781 7.704 0.000
-0.844 0.000 9.670
Ac Nd Y Ho
2 12 4 2
direct
0.034 0.966 0.750 Ac
0.966 0.034 0.250 Ac
0.002 0.550 0.683 Nd
0.118 0.758 0.057 Nd
0.242 0.882 0.443 Nd
0.291 0.520 0.884 Nd
0.450 0.998 0.817 Nd
0.480 0.709 0.616 Nd
0.520 0.291 0.384 Nd
0.550 0.002 0.183 Nd
0.709 0.480 0.116 Nd
0.758 0.118 0.557 Nd
0.882 0.242 0.943 Nd
0.998 0.450 0.317 Nd
0.208 0.310 0.551 Y
0.310 0.208 0.051 Y
0.690 0.792 0.949 Y
0.792 0.690 0.449 Y
0.413 0.587 0.250 Ho
0.587 0.413 0.750 Ho
```

***

No. 5
Entry from the Alexandria database: crystalline SrTa3 at its relaxed geometry (PBE).

Computed properties:
The total energy is -8.65 eV/atom.

```
SrTa3
1.0
2.884 0.000 0.000
0.000 2.884 0.000
0.000 0.000 10.520
Sr Ta
1 3
direct
0.000 0.000 0.000 Sr
0.000 0.000 0.500 Ta
0.500 0.500 0.286 Ta
0.500 0.500 0.714 Ta
```

***

No. 6
Entry from the Alexandria database: crystalline TbPm4Pr10 at its relaxed geometry (PBE).

Computed properties:
The total energy is -4.37 eV/atom.

```
TbPm4Pr10
1.0
-5.075 5.075 5.538
5.075 -5.075 5.538
5.075 5.075 -5.538
Tb Pm Pr
1 4 10
direct
0.000 0.000 0.000 Tb
0.221 0.557 0.777 Pm
0.443 0.221 0.664 Pm
0.557 0.779 0.336 Pm
0.779 0.443 0.223 Pm
0.045 0.941 0.654 Pr
0.059 0.713 0.104 Pr
0.250 0.750 0.500 Pr
0.287 0.391 0.346 Pr
0.391 0.045 0.104 Pr
0.609 0.955 0.896 Pr
0.713 0.609 0.654 Pr
0.750 0.250 0.500 Pr
0.941 0.287 0.896 Pr
0.955 0.059 0.346 Pr
```

***

No. 7
Entry from the Alexandria database: crystalline As2IrPd at its relaxed geometry (PBE).

Computed properties:
The calculation puts the energy above the most stable polymorph in this dataset at 0.000 eV/atom. The total energy is -5.89 eV/atom.

```
As2IrPd
1.0
5.810 0.000 0.000
0.000 5.810 0.000
0.000 0.000 10.283
As Ir Pd
8 4 4
direct
0.237 0.250 0.125 As
0.250 0.737 0.375 As
0.250 0.763 0.875 As
0.263 0.250 0.625 As
0.737 0.750 0.625 As
0.750 0.237 0.875 As
0.750 0.263 0.375 As
0.763 0.750 0.125 As
0.000 0.000 0.000 Ir
0.000 0.500 0.250 Ir
0.500 0.000 0.750 Ir
0.500 0.500 0.500 Ir
0.000 0.000 0.500 Pd
0.000 0.500 0.750 Pd
0.500 0.000 0.250 Pd
0.500 0.500 0.000 Pd
```

***

No. 8
Entry from the Alexandria database: crystalline Ac5LaPr4 at its relaxed geometry (PBE).

Computed properties:
The calculation puts the energy above the most stable polymorph in this dataset at 0.000 eV/atom. The total energy is -4.44 eV/atom.

```
Ac5LaPr4
1.0
9.810 -2.756 0.000
9.810 2.756 0.000
-1.686 0.000 7.474
Ac La Pr
5 1 4
direct
0.000 0.000 0.000 Ac
0.200 0.200 0.601 Ac
0.400 0.400 0.199 Ac
0.600 0.600 0.801 Ac
0.800 0.800 0.399 Ac
0.000 0.000 0.500 La
0.199 0.199 0.100 Pr
0.400 0.400 0.699 Pr
0.600 0.600 0.301 Pr
0.801 0.801 0.900 Pr
```

***

No. 9
Entry from the Alexandria database: crystalline Tb3Th4Se8 at its relaxed geometry (PBE).

Computed properties:
The total energy is -6.45 eV/atom. As for the energy relative to the elements, uncorrected: -1684 meV/atom.

```
Tb3Th4Se8
1.0
5.846 -5.850 0.000
5.846 5.850 0.000
-5.795 0.000 5.858
Tb Th Se
3 4 8
direct
0.000 0.000 0.000 Tb
0.000 0.500 0.000 Tb
0.500 0.000 0.000 Tb
0.000 0.500 0.500 Th
0.500 0.000 0.500 Th
0.500 0.500 0.000 Th
0.500 0.500 0.500 Th
0.235 0.235 0.492 Se
0.238 0.238 0.983 Se
0.240 0.760 0.500 Se
0.246 0.754 0.000 Se
0.754 0.246 0.000 Se
0.760 0.240 0.500 Se
0.762 0.762 0.017 Se
0.765 0.765 0.508 Se
```

***

No. 10
Entry from the Alexandria database: crystalline PrSm2Dy6 at its relaxed geometry (PBE).

Computed properties:
The calculation puts the energy above the most stable polymorph in this dataset at 0.000 eV/atom. The total energy is -4.54 eV/atom.

```
PrSm2Dy6
1.0
8.340 -5.172 0.000
8.340 5.172 0.000
-0.727 0.000 3.420
Pr Sm Dy
1 2 6
direct
0.000 0.000 0.000 Pr
0.342 0.342 0.843 Sm
0.658 0.658 0.157 Sm
0.010 0.345 0.179 Dy
0.317 0.683 0.500 Dy
0.345 0.010 0.179 Dy
0.655 0.990 0.821 Dy
0.683 0.317 0.500 Dy
0.990 0.655 0.821 Dy
```

***

No. 11
Entry from the Alexandria database: crystalline SrH2Cl6 at its relaxed geometry (PBE).

Computed properties:
The total energy is -3.15 eV/atom.

```
SrH2Cl6
1.0
3.912 -6.244 0.000
3.912 6.244 0.000
-0.886 0.000 11.679
Sr H Cl
2 4 12
direct
0.216 0.784 0.750 Sr
0.784 0.216 0.250 Sr
0.232 0.328 0.669 H
0.328 0.232 0.169 H
0.672 0.768 0.831 H
0.768 0.672 0.331 H
0.065 0.456 0.070 Cl
0.165 0.439 0.596 Cl
0.203 0.324 0.264 Cl
0.324 0.203 0.764 Cl
0.439 0.165 0.096 Cl
0.456 0.065 0.570 Cl
0.544 0.935 0.430 Cl
0.561 0.835 0.904 Cl
0.676 0.797 0.236 Cl
0.797 0.676 0.736 Cl
0.835 0.561 0.404 Cl
0.935 0.544 0.930 Cl
```

***

No. 12
Entry from the Alexandria database: crystalline La2Hf2Ir at its relaxed geometry (PBE).

Computed properties:
The total energy is -7.92 eV/atom.

```
La2Hf2Ir
1.0
6.933 0.000 0.000
0.000 6.933 0.000
0.000 0.000 5.493
La Hf Ir
4 4 2
direct
0.168 0.332 0.000 La
0.332 0.832 0.000 La
0.668 0.168 0.000 La
0.832 0.668 0.000 La
0.155 0.655 0.500 Hf
0.345 0.155 0.500 Hf
0.655 0.845 0.500 Hf
0.845 0.345 0.500 Hf
0.000 0.000 0.500 Ir
0.500 0.500 0.500 Ir
```

***

No. 13
Entry from the Alexandria database: crystalline LiTaPb2 at its relaxed geometry (PBE).

Computed properties:
The total energy is -5.12 eV/atom.

```
LiTaPb2
1.0
3.290 0.000 0.000
-1.645 2.850 0.000
0.000 0.000 28.596
Li Ta Pb
3 3 6
direct
0.000 0.000 0.000 Li
0.333 0.667 0.667 Li
0.667 0.333 0.333 Li
0.000 0.000 0.500 Ta
0.333 0.667 0.167 Ta
0.667 0.333 0.833 Ta
0.000 0.000 0.251 Pb
0.000 0.000 0.749 Pb
0.333 0.667 0.416 Pb
0.333 0.667 0.918 Pb
0.667 0.333 0.082 Pb
0.667 0.333 0.584 Pb
```

***

No. 14
Entry from the Alexandria database: crystalline Zr3Ta at its relaxed geometry (PBE).

Computed properties:
The calculation puts the energy above the most stable polymorph in this dataset at 0.009 eV/atom. The total energy is -9.26 eV/atom.

```
Zr3Ta
1.0
3.462 0.000 0.000
0.000 3.462 0.000
0.000 0.000 7.254
Zr Ta
3 1
direct
0.000 0.000 0.000 Zr
0.500 0.500 0.273 Zr
0.500 0.500 0.727 Zr
0.000 0.000 0.500 Ta
```

***

No. 15
Entry from the Alexandria database: crystalline YTeSe at its relaxed geometry (PBE).

Computed properties:
The calculation puts the energy above the most stable polymorph in this dataset at 0.260 eV/atom. The total energy is -5.52 eV/atom. As for the energy relative to the elements, uncorrected: -1155 meV/atom.

```
YTeSe
1.0
7.195 0.000 0.000
0.000 7.195 0.000
0.000 0.000 7.195
Y Te Se
4 4 4
direct
0.023 0.023 0.023 Y
0.477 0.977 0.523 Y
0.523 0.477 0.977 Y
0.977 0.523 0.477 Y
0.128 0.628 0.872 Te
0.372 0.372 0.372 Te
0.628 0.872 0.128 Te
0.872 0.128 0.628 Te
0.123 0.877 0.377 Se
0.377 0.123 0.877 Se
0.623 0.623 0.623 Se
0.877 0.377 0.123 Se
```

***

No. 16
Entry from the Alexandria database: crystalline YIn2Ag at its relaxed geometry (PBE).

Computed properties:
The total energy is -3.77 eV/atom.

```
YIn2Ag
1.0
4.411 0.000 0.000
0.000 4.411 0.000
0.000 0.000 21.609
Y In Ag
4 8 4
direct
0.000 0.000 0.000 Y
0.000 0.500 0.250 Y
0.500 0.000 0.750 Y
0.500 0.500 0.500 Y
0.235 0.250 0.625 In
0.250 0.735 0.875 In
0.250 0.765 0.375 In
0.265 0.250 0.125 In
0.735 0.750 0.125 In
0.750 0.235 0.375 In
0.750 0.265 0.875 In
0.765 0.750 0.625 In
0.000 0.000 0.500 Ag
0.000 0.500 0.750 Ag
0.500 0.000 0.250 Ag
0.500 0.500 0.000 Ag
```

***

No. 17
Entry from the Alexandria database: crystalline LaNdCdSi at its relaxed geometry (PBE).

Computed properties:
The total energy is -4.41 eV/atom. As for the energy relative to the elements, uncorrected: -400 meV/atom.

```
LaNdCdSi
1.0
7.536 0.000 0.000
0.000 7.536 0.000
0.000 0.000 7.536
La Nd Cd Si
4 4 4 4
direct
0.000 0.000 0.000 La
0.000 0.500 0.500 La
0.500 0.000 0.500 La
0.500 0.500 0.000 La
0.000 0.000 0.500 Nd
0.000 0.500 0.000 Nd
0.500 0.000 0.000 Nd
0.500 0.500 0.500 Nd
0.250 0.250 0.250 Cd
0.250 0.750 0.750 Cd
0.750 0.250 0.750 Cd
0.750 0.750 0.250 Cd
0.250 0.250 0.750 Si
0.250 0.750 0.250 Si
0.750 0.250 0.250 Si
0.750 0.750 0.750 Si
```

***

No. 18
Entry from the Alexandria database: crystalline BaSn3Sb at its relaxed geometry (PBE).

Computed properties:
The calculation puts the energy above the most stable polymorph in this dataset at 0.990 eV/atom. The total energy is -2.51 eV/atom. As for the energy relative to the elements, uncorrected: 1102 meV/atom.

```
BaSn3Sb
1.0
6.142 0.000 0.000
0.000 6.142 0.000
0.000 0.000 6.142
Ba Sn Sb
1 3 1
direct
0.000 0.000 0.000 Ba
0.000 0.000 0.500 Sn
0.000 0.500 0.000 Sn
0.500 0.000 0.000 Sn
0.500 0.500 0.500 Sb
```

***

No. 19
Entry from the Alexandria database: crystalline Pa3TcOs at its relaxed geometry (PBE).

Computed properties:
The total energy is -10.19 eV/atom.

```
Pa3TcOs
1.0
7.675 0.000 0.000
0.000 3.809 0.000
-3.148 0.000 7.605
Pa Tc Os
6 2 2
direct
0.049 0.250 0.173 Pa
0.202 0.750 0.554 Pa
0.406 0.750 0.131 Pa
0.594 0.250 0.869 Pa
0.798 0.250 0.446 Pa
0.951 0.750 0.827 Pa
0.217 0.250 0.827 Tc
0.783 0.750 0.173 Tc
0.411 0.250 0.383 Os
0.589 0.750 0.617 Os
```

***

No. 20
Entry from the Alexandria database: crystalline Ca8Sn2Bi at its relaxed geometry (PBE).

Computed properties:
The total energy is -3.01 eV/atom.

```
Ca8Sn2Bi
1.0
9.796 -2.612 0.000
9.796 2.612 0.000
-1.524 0.000 7.442
Ca Sn Bi
8 2 1
direct
0.029 0.029 0.269 Ca
0.208 0.208 0.813 Ca
0.336 0.336 0.532 Ca
0.404 0.404 0.038 Ca
0.596 0.596 0.962 Ca
0.664 0.664 0.468 Ca
0.792 0.792 0.187 Ca
0.971 0.971 0.731 Ca
0.192 0.192 0.228 Sn
0.808 0.808 0.772 Sn
0.500 0.500 0.500 Bi
```

***

No. 21
Entry from the Alexandria database: crystalline Sr3CaRh at its relaxed geometry (PBE).

Computed properties:
The calculation puts the energy above the most stable polymorph in this dataset at 1.529 eV/atom. The total energy is -1.55 eV/atom.

```
Sr3CaRh
1.0
6.262 0.000 0.000
0.000 6.262 0.000
0.000 0.000 6.262
Sr Ca Rh
3 1 1
direct
0.000 0.000 0.500 Sr
0.000 0.500 0.000 Sr
0.500 0.000 0.000 Sr
0.000 0.000 0.000 Ca
0.500 0.500 0.500 Rh
```

***

No. 22
Entry from the Alexandria database: crystalline TbHoMgAu at its relaxed geometry (PBE).

Computed properties:
The calculation puts the energy above the most stable polymorph in this dataset at 0.059 eV/atom. The total energy is -3.93 eV/atom.

```
TbHoMgAu
1.0
7.344 0.000 0.000
0.000 7.344 0.000
0.000 0.000 7.344
Tb Ho Mg Au
4 4 4 4
direct
0.000 0.000 0.000 Tb
0.000 0.500 0.500 Tb
0.500 0.000 0.500 Tb
0.500 0.500 0.000 Tb
0.000 0.000 0.500 Ho
0.000 0.500 0.000 Ho
0.500 0.000 0.000 Ho
0.500 0.500 0.500 Ho
0.250 0.250 0.750 Mg
0.250 0.750 0.250 Mg
0.750 0.250 0.250 Mg
0.750 0.750 0.750 Mg
0.250 0.250 0.250 Au
0.250 0.750 0.750 Au
0.750 0.250 0.750 Au
0.750 0.750 0.250 Au
```

***

No. 23
Entry from the Alexandria database: crystalline KCr2Te2 at its relaxed geometry (PBE).

Computed properties:
The total energy is -5.45 eV/atom. As for the energy relative to the elements, uncorrected: -121 meV/atom.

```
KCr2Te2
1.0
3.887 0.000 0.000
0.000 3.887 0.000
0.000 0.000 16.169
K Cr Te
2 4 4
direct
0.000 0.000 0.000 K
0.500 0.500 0.500 K
0.000 0.500 0.250 Cr
0.000 0.500 0.750 Cr
0.500 0.000 0.250 Cr
0.500 0.000 0.750 Cr
0.000 0.000 0.358 Te
0.000 0.000 0.642 Te
0.500 0.500 0.142 Te
0.500 0.500 0.858 Te
```